1.
Compound: ErCdHg
Source: Alexandria via LeMat-Bulk
Functional: PBE
Structure: relaxed

a b c (Å): 4.858 4.858 4.858
angles (deg): 60.00 60.00 60.00
Positions (direct):
Cd  0.500  0.500  0.500
Hg  0.250  0.250  0.250
Er  0.000  0.000  0.000

Results
DOS(E_F) in states/eV/atom: 1.5819
VASP energy in eV per atom: -2.144

---

2.
Compound: Er4CdHg7
Source: Alexandria via LeMat-Bulk
Functional: PBE
Structure: relaxed

a b c (Å): 5.334 9.611 6.960
angles (deg): 78.94 67.47 73.89
Positions (direct):
Er  0.580  0.224  0.616
Er  0.420  0.776  0.384
Er  0.735  0.681  0.849
Er  0.265  0.319  0.151
Cd  0.000  0.000  0.000
Hg  0.802  0.916  0.481
Hg  0.198  0.084  0.519
Hg  0.073  0.655  0.199
Hg  0.927  0.345  0.801
Hg  0.360  0.537  0.743
Hg  0.500  0.000  0.000
Hg  0.640  0.463  0.257

Results
DOS(E_F) in states/eV/atom: 0.5258
VASP energy in eV per atom: -2.027

---

3.
Compound: ErCd5Hg5
Source: Alexandria via LeMat-Bulk
Functional: PBE
Structure: relaxed

a b c (Å): 6.418 10.182 6.732
angles (deg): 101.81 86.59 139.66
Positions (direct):
Er  0.000  0.000  0.000
Cd  0.661  0.334  0.331
Cd  0.656  0.311  0.794
Cd  0.000  0.000  0.500
Cd  0.344  0.689  0.206
Cd  0.339  0.666  0.669
Hg  0.821  0.658  0.159
Hg  0.897  0.696  0.650
Hg  0.500  0.000  0.000
Hg  0.103  0.304  0.350
Hg  0.179  0.342  0.841

Results
DOS(E_F) in states/eV/atom: 0.4356
VASP energy in eV per atom: -1.047

---

4.
Compound: ErCd2Hg7
Source: Alexandria via LeMat-Bulk
Functional: PBE
Structure: relaxed

a b c (Å): 7.505 9.371 11.098
angles (deg): 45.67 70.24 66.39
Positions (direct):
Er  0.948  0.250  0.750
Er  0.052  0.750  0.250
Cd  0.708  0.983  0.659
Cd  0.650  0.483  0.159
Cd  0.350  0.517  0.841
Cd  0.292  0.017  0.341
Hg  0.742  0.551  0.844
Hg  0.863  0.051  0.344
Hg  0.331  0.894  0.909
Hg  0.333  0.306  0.493
Hg  0.535  0.250  0.750
Hg  0.866  0.394  0.409
Hg  0.133  0.194  0.007
Hg  0.867  0.806  0.993
Hg  0.134  0.606  0.591
Hg  0.465  0.750  0.250
Hg  0.667  0.694  0.507
Hg  0.669  0.106  0.091
Hg  0.137  0.949  0.656
Hg  0.258  0.449  0.156

Results
DOS(E_F) in states/eV/atom: 0.3704
VASP energy in eV per atom: -0.947

---

5.
Compound: ErCd8Hg6
Source: Alexandria via LeMat-Bulk
Functional: PBE
Structure: relaxed

a b c (Å): 7.893 7.893 7.893
angles (deg): 63.23 63.23 63.23
Positions (direct):
Er  0.000  0.000  0.000
Cd  0.273  0.272  0.890
Cd  0.110  0.727  0.728
Cd  0.728  0.110  0.727
Cd  0.579  0.579  0.579
Cd  0.421  0.421  0.421
Cd  0.272  0.890  0.273
Cd  0.890  0.273  0.272
Cd  0.727  0.728  0.110
Hg  0.838  0.456  0.837
Hg  0.163  0.162  0.544
Hg  0.544  0.163  0.162
Hg  0.456  0.837  0.838
Hg  0.837  0.838  0.456
Hg  0.162  0.544  0.163

Results
DOS(E_F) in states/eV/atom: 0.4115
Polymorph energy (0 for the lowest one) in meV/atom: 0

---

6.
Compound: Er2CdHg4
Source: Alexandria via LeMat-Bulk
Functional: PBE
Structure: relaxed

a b c (Å): 5.370 5.370 8.474
angles (deg): 108.47 108.47 90.00
Positions (direct):
Er  0.609  0.609  0.219
Er  0.391  0.391  0.781
Cd  0.000  0.000  0.000
Hg  0.805  0.805  0.610
Hg  0.195  0.195  0.390
Hg  0.000  0.500  0.000
Hg  0.500  0.000  0.000

Results
DOS(E_F) in states/eV/atom: 0.7727
Polymorph energy (0 for the lowest one) in meV/atom: 358

---

7.
Compound: ErCd2Hg4
Source: Alexandria via LeMat-Bulk
Functional: PBE
Structure: relaxed

a b c (Å): 4.992 4.992 8.588
angles (deg): 73.10 73.10 60.00
Positions (direct):
Er  0.000  0.000  0.000
Cd  0.747  0.747  0.760
Cd  0.253  0.253  0.240
Hg  0.616  0.616  0.153
Hg  0.868  0.868  0.395
Hg  0.384  0.384  0.847
Hg  0.132  0.132  0.605

Results
DOS(E_F) in states/eV/atom: 0.5877
VASP energy in eV per atom: -1.259

---

8.
Compound: ErCd12Hg7
Source: Alexandria via LeMat-Bulk
Functional: PBE
Structure: relaxed

a b c (Å): 7.920 7.920 7.920
angles (deg): 98.61 98.61 98.61
Positions (direct):
Er  0.000  0.000  0.000
Cd  0.000  0.272  0.728
Cd  0.728  0.272  0.000
Cd  0.603  0.169  0.603
Cd  0.831  0.397  0.397
Cd  0.272  0.000  0.728
Cd  0.397  0.397  0.831
Cd  0.603  0.603  0.169
Cd  0.728  0.000  0.272
Cd  0.169  0.603  0.603
Cd  0.397  0.831  0.397
Cd  0.272  0.728  0.000
Cd  0.000  0.728  0.272
Hg  0.861  0.599  0.861
Hg  0.401  0.139  0.139
Hg  0.139  0.139  0.401
Hg  0.500  0.500  0.500
Hg  0.861  0.861  0.599
Hg  0.599  0.861  0.861
Hg  0.139  0.401  0.139

Results
DOS(E_F) in states/eV/atom: 0.2808
Polymorph energy (0 for the lowest one) in meV/atom: 0

---

9.
Compound: Er3Cd2Hg8
Source: Alexandria via LeMat-Bulk
Functional: PBE
Structure: relaxed

a b c (Å): 6.037 6.037 11.429
angles (deg): 74.68 74.68 60.00
Positions (direct):
Er  0.000  0.000  0.000
Er  0.810  0.810  0.569
Er  0.190  0.190  0.431
Cd  0.633  0.633  0.102
Cd  0.367  0.367  0.898
Hg  0.718  0.718  0.847
Hg  0.282  0.282  0.153
Hg  0.224  0.723  0.330
Hg  0.723  0.224  0.330
Hg  0.723  0.723  0.330
Hg  0.277  0.776  0.670
Hg  0.776  0.277  0.670
Hg  0.277  0.277  0.670

Results
DOS(E_F) in states/eV/atom: 0.8138
VASP energy in eV per atom: -1.449

---

10.
Compound: Er6Cd2Hg
Source: Alexandria via LeMat-Bulk
Functional: PBE
Structure: relaxed

a b c (Å): 5.076 7.182 8.809
angles (deg): 114.06 106.80 89.97
Positions (direct):
Er  0.166  0.414  0.332
Er  0.834  0.082  0.668
Er  0.834  0.586  0.668
Er  0.500  0.247  0.000
Er  0.166  0.918  0.332
Er  0.500  0.753  0.000
Cd  0.666  0.666  0.332
Cd  0.334  0.334  0.668
Hg  0.000  0.000  0.000

Results
DOS(E_F) in states/eV/atom: 0.8897
VASP energy in eV per atom: -3.259

---

11.
Compound: Er3CdHg
Source: Alexandria via LeMat-Bulk
Functional: PBE
Structure: relaxed

a b c (Å): 5.136 5.135 10.443
angles (deg): 90.00 75.76 90.00
Positions (direct):
Er  0.764  0.250  0.119
Er  0.386  0.250  0.877
Er  0.575  0.250  0.499
Er  0.262  0.750  0.123
Er  0.884  0.750  0.881
Er  0.074  0.750  0.501
Cd  0.669  0.750  0.311
Cd  0.979  0.250  0.689
Hg  0.482  0.750  0.684
Hg  0.166  0.250  0.316

Results
DOS(E_F) in states/eV/atom: 1.2618
Polymorph energy (0 for the lowest one) in meV/atom: 0

---

12.
Compound: Er2CdHg4
Source: Alexandria via LeMat-Bulk
Functional: PBE
Structure: relaxed

a b c (Å): 4.988 4.988 8.746
angles (deg): 73.43 73.43 60.00
Positions (direct):
Cd  0.000  0.000  0.000
Hg  0.870  0.870  0.390
Hg  0.130  0.130  0.610
Hg  0.619  0.619  0.144
Hg  0.381  0.381  0.856
Er  0.747  0.747  0.759
Er  0.253  0.253  0.241

Results
DOS(E_F) in states/eV/atom: 0.5902
Polymorph energy (0 for the lowest one) in meV/atom: 0

---

13.
Compound: Er3Cd2Hg
Source: Alexandria via LeMat-Bulk
Functional: PBE
Structure: relaxed

a b c (Å): 3.711 3.711 11.083
angles (deg): 90.00 90.00 90.00
Positions (direct):
Er  0.000  0.000  0.000
Er  0.000  0.000  0.664
Er  0.000  0.000  0.336
Cd  0.500  0.500  0.834
Cd  0.500  0.500  0.166
Hg  0.500  0.500  0.500

Results
DOS(E_F) in states/eV/atom: 0.8338
VASP energy in eV per atom: -3.008

---

14.
Compound: Er3CdHg2
Source: Alexandria via LeMat-Bulk
Functional: PBE
Structure: relaxed

a b c (Å): 3.703 3.703 11.057
angles (deg): 90.00 90.00 90.00
Positions (direct):
Er  0.000  0.000  0.000
Er  0.000  0.000  0.669
Er  0.000  0.000  0.331
Cd  0.500  0.500  0.500
Hg  0.500  0.500  0.831
Hg  0.500  0.500  0.169

Results
DOS(E_F) in states/eV/atom: 0.7694
Polymorph energy (0 for the lowest one) in meV/atom: 0

---

15.
Compound: Er5CdHg8
Source: Alexandria via LeMat-Bulk
Functional: PBE
Structure: relaxed

a b c (Å): 7.738 7.738 7.738
angles (deg): 109.42 109.58 109.42
Positions (direct):
Er  0.978  0.382  0.119
Er  0.881  0.859  0.263
Er  0.737  0.618  0.596
Er  0.500  0.000  0.500
Er  0.404  0.141  0.022
Cd  0.250  0.500  0.750
Hg  0.115  0.750  0.023
Hg  0.977  0.092  0.727
Hg  0.807  0.246  0.388
Hg  0.612  0.419  0.857
Hg  0.439  0.581  0.193
Hg  0.635  0.908  0.885
Hg  0.273  0.250  0.365
Hg  0.143  0.754  0.561

Results
DOS(E_F) in states/eV/atom: 0.6703
VASP energy in eV per atom: -2.195

---

16.
Compound: Er4CdHg5
Source: Alexandria via LeMat-Bulk
Functional: PBE
Structure: relaxed

a b c (Å): 3.686 3.686 18.116
angles (deg): 90.00 90.00 90.00
Positions (direct):
Er  0.000  0.000  0.193
Er  0.000  0.000  0.398
Er  0.000  0.000  0.602
Er  0.000  0.000  0.807
Cd  0.000  0.000  0.000
Hg  0.500  0.500  0.097
Hg  0.500  0.500  0.298
Hg  0.500  0.500  0.500
Hg  0.500  0.500  0.702
Hg  0.500  0.500  0.903

Results
DOS(E_F) in states/eV/atom: 0.6718
VASP energy in eV per atom: -2.464

---

17.
Compound: Er2Cd3Hg2
Source: Alexandria via LeMat-Bulk
Functional: PBE
Structure: relaxed

a b c (Å): 4.163 5.853 7.555
angles (deg): 93.33 90.00 110.83
Positions (direct):
Er  0.618  0.236  0.323
Er  0.382  0.764  0.677
Cd  0.309  0.619  0.117
Cd  0.000  0.000  0.000
Cd  0.691  0.381  0.883
Hg  0.106  0.211  0.630
Hg  0.894  0.789  0.370

Results
DOS(E_F) in states/eV/atom: 0.6014
VASP energy in eV per atom: -2.015

---

18.
Compound: ErCd4Hg7
Source: Alexandria via LeMat-Bulk
Functional: PBE
Structure: relaxed

a b c (Å): 6.470 5.432 8.664
angles (deg): 95.67 73.07 91.70
Positions (direct):
Er  0.000  0.000  0.000
Cd  0.567  0.817  0.337
Cd  0.433  0.183  0.663
Cd  0.699  0.688  0.662
Cd  0.301  0.312  0.338
Hg  0.745  0.501  0.018
Hg  0.255  0.499  0.982
Hg  0.922  0.194  0.680
Hg  0.078  0.806  0.320
Hg  0.200  0.691  0.652
Hg  0.500  0.000  0.000
Hg  0.800  0.309  0.348

Results
DOS(E_F) in states/eV/atom: 0.4107
Polymorph energy (0 for the lowest one) in meV/atom: 0

---

19.
Compound: Er2Cd2Hg7
Source: Alexandria via LeMat-Bulk
Functional: PBE
Structure: relaxed

a b c (Å): 7.096 6.250 7.096
angles (deg): 90.00 96.65 90.00
Positions (direct):
Er  0.808  0.500  0.808
Er  0.192  0.500  0.192
Cd  0.732  0.000  0.268
Cd  0.268  0.000  0.732
Hg  0.000  0.261  0.500
Hg  0.500  0.739  0.000
Hg  0.000  0.739  0.500
Hg  0.500  0.261  0.000
Hg  0.000  0.000  0.000
Hg  0.500  0.736  0.500
Hg  0.500  0.264  0.500

Results
DOS(E_F) in states/eV/atom: 0.4615
Polymorph energy (0 for the lowest one) in meV/atom: 211

---

20.
Compound: ErCd2Hg5
Source: Alexandria via LeMat-Bulk
Functional: PBE
Structure: relaxed

a b c (Å): 7.864 7.864 8.472
angles (deg): 117.65 117.65 90.00
Positions (direct):
Er  0.750  0.750  0.500
Er  0.250  0.250  0.500
Cd  0.143  0.357  0.000
Cd  0.643  0.143  0.000
Cd  0.357  0.857  0.000
Cd  0.857  0.643  0.000
Hg  0.492  0.687  0.679
Hg  0.813  0.008  0.321
Hg  0.000  0.000  0.000
Hg  0.500  0.500  0.000
Hg  0.187  0.992  0.679
Hg  0.687  0.187  0.679
Hg  0.992  0.492  0.679
Hg  0.313  0.813  0.321
Hg  0.008  0.508  0.321
Hg  0.508  0.313  0.321

Results
DOS(E_F) in states/eV/atom: 0.5300
Polymorph energy (0 for the lowest one) in meV/atom: 19

---

21.
Compound: Er3CdHg
Source: Alexandria via LeMat-Bulk
Functional: PBE
Structure: relaxed

a b c (Å): 6.212 6.212 15.875
angles (deg): 73.13 73.13 76.10
Positions (direct):
Er  0.824  0.835  0.845
Er  0.165  0.176  0.655
Er  0.176  0.165  0.155
Er  0.835  0.824  0.345
Er  0.780  0.792  0.636
Er  0.208  0.220  0.864
Er  0.220  0.208  0.364
Er  0.792  0.780  0.136
Er  0.265  0.641  0.960
Er  0.359  0.735  0.540
Er  0.641  0.265  0.460
Er  0.735  0.359  0.040
Cd  0.720  0.378  0.829
Cd  0.622  0.280  0.671
Cd  0.280  0.622  0.171
Cd  0.378  0.720  0.329
Hg  0.000  0.500  0.500
Hg  0.500  0.000  0.000
Hg  0.692  0.308  0.250
Hg  0.308  0.692  0.750

Results
DOS(E_F) in states/eV/atom: 1.1484
Polymorph energy (0 for the lowest one) in meV/atom: 131